Record 1
This record from Alexandria via LeMat-Bulk describes an optimized crystal structure of KMnSe2. The functional is GGA-PBE.

a b c (Å): 3.392 3.392 7.969
angles (deg): 90.00 90.00 90.00
Element x y z (fractional)
1 K 0.500 0.500 0.250
2 Mn 0.500 0.500 0.750
3 Se 0.000 0.000 0.949
4 Se 0.000 0.000 0.551

Output
The raw formation energy is -0.413 eV per atom. The calculation puts the size of the total moment at 4.2 μB/f.u. The mass density is 4.56 g cm⁻³. The total energy comes out at -4.72 eV/atom.



Record 2
This record from Alexandria via LeMat-Bulk describes an optimized crystal structure of K5Mn2Se5. The functional is GGA-PBE.

a b c (Å): 4.275 7.781 12.590
angles (deg): 63.79 80.22 74.05
Element x y z (fractional)
1 K 0.500 0.500 0.500
2 K 0.346 0.212 0.096
3 K 0.222 0.180 0.376
4 K 0.778 0.820 0.624
5 K 0.654 0.788 0.904
6 Mn 0.964 0.272 0.798
7 Mn 0.036 0.728 0.202
8 Se 0.892 0.869 0.348
9 Se 0.370 0.468 0.792
10 Se 0.630 0.532 0.208
11 Se 0.108 0.131 0.652
12 Se 0.000 0.000 0.000

Output
The raw formation energy is -0.888 eV per atom. The calculation puts the size of the total moment at 9.0 μB/f.u. The mass density is 3.22 g cm⁻³. The total energy comes out at -4.33 eV/atom.



Record 3
This record from Alexandria via LeMat-Bulk describes an optimized crystal structure of KMn2Se. The functional is GGA-PBE.

a b c (Å): 6.287 6.287 6.287
angles (deg): 150.29 129.21 59.96
Element x y z (fractional)
1 K 0.750 0.250 0.500
2 Mn 0.054 0.054 0.000
3 Mn 0.446 0.446 0.000
4 Se 0.250 0.750 0.500

Output
The raw formation energy is 0.328 eV per atom. The calculation puts the size of the total moment at 8.5 μB/f.u. The mass density is 4.00 g cm⁻³. The total energy comes out at -5.40 eV/atom.



Record 4
This record from Alexandria via LeMat-Bulk describes an optimized crystal structure of KMn2Se. The functional is GGA-PBE.

a b c (Å): 6.258 6.258 6.258
angles (deg): 150.70 121.71 66.57
Element x y z (fractional)
1 K 0.720 0.220 0.500
2 Mn 0.073 0.073 0.000
3 Mn 0.270 0.770 0.500
4 Se 0.437 0.437 0.000

Output
The raw formation energy is 0.393 eV per atom. The calculation puts the size of the total moment at 7.0 μB/f.u. The mass density is 3.75 g cm⁻³. The total energy comes out at -5.34 eV/atom.



Record 5
This record from Alexandria via LeMat-Bulk describes an optimized crystal structure of K2MnSiSe4. The functional is GGA-PBE.

a b c (Å): 6.001 7.491 12.657
angles (deg): 84.55 76.29 66.39
Element x y z (fractional)
1 K 0.184 0.000 0.632
2 K 0.816 0.000 0.368
3 K 0.566 0.500 0.868
4 K 0.934 0.500 0.132
5 Mn 0.750 0.500 0.500
6 Mn 0.000 0.000 0.000
7 Si 0.250 0.500 0.500
8 Si 0.500 0.000 0.000
9 Se 0.325 0.802 0.106
10 Se 0.233 0.198 0.894
11 Se 0.873 0.802 0.894
12 Se 0.569 0.198 0.106
13 Se 0.425 0.698 0.394
14 Se 0.517 0.302 0.606
15 Se 0.877 0.698 0.606
16 Se 0.181 0.302 0.394

Output
The raw formation energy is -0.821 eV per atom. The calculation puts the size of the total moment at 5.0 μB/f.u. The mass density is 3.13 g cm⁻³. The total energy comes out at -4.66 eV/atom.



Record 6
This record from Alexandria via LeMat-Bulk describes an optimized crystal structure of K2SmMn2Se4. The functional is GGA-PBE.

a b c (Å): 4.215 8.008 8.063
angles (deg): 109.26 105.15 90.00
Element x y z (fractional)
1 K 0.131 0.555 0.261
2 K 0.869 0.445 0.739
3 Sm 0.000 0.000 0.000
4 Mn 0.679 0.984 0.357
5 Mn 0.321 0.016 0.643
6 Se 0.203 0.180 0.405
7 Se 0.797 0.820 0.595
8 Se 0.520 0.759 0.041
9 Se 0.480 0.241 0.959

Output
The raw formation energy is -1.092 eV per atom. The calculation puts the size of the total moment at 9.0 μB/f.u. The mass density is 4.40 g cm⁻³. The total energy comes out at -5.45 eV/atom.



Record 7
This record from Alexandria via LeMat-Bulk describes an optimized crystal structure of K4Sm3MnSe8. The functional is GGA-PBE.

a b c (Å): 8.418 9.095 8.419
angles (deg): 117.57 120.00 90.00
Element x y z (fractional)
1 K 0.500 0.000 0.000
2 K 0.500 0.000 0.500
3 K 0.000 0.000 0.000
4 K 0.000 0.000 0.500
5 Sm 0.500 0.500 0.000
6 Sm 0.500 0.500 0.500
7 Sm 0.000 0.500 0.500
8 Mn 0.000 0.500 0.000
9 Se 0.222 0.700 0.977
10 Se 0.223 0.700 0.445
11 Se 0.263 0.288 0.525
12 Se 0.755 0.700 0.977
13 Se 0.245 0.300 0.023
14 Se 0.737 0.712 0.475
15 Se 0.777 0.300 0.555
16 Se 0.778 0.300 0.023

Output
The raw formation energy is -1.456 eV per atom. The calculation puts the size of the total moment at 4.0 μB/f.u. The mass density is 4.55 g cm⁻³. The total energy comes out at -4.93 eV/atom.



Record 8
This record from Alexandria via LeMat-Bulk describes an optimized crystal structure of KSmMnSe3. The functional is GGA-PBE.

a b c (Å): 4.280 9.151 9.901
angles (deg): 106.24 90.00 90.00
Element x y z (fractional)
1 K 0.750 0.798 0.771
2 K 0.250 0.202 0.229
3 Sm 0.250 0.668 0.142
4 Sm 0.750 0.332 0.858
5 Mn 0.250 0.086 0.607
6 Mn 0.750 0.914 0.393
7 Se 0.250 0.798 0.467
8 Se 0.750 0.891 0.139
9 Se 0.750 0.456 0.160
10 Se 0.750 0.202 0.533
11 Se 0.250 0.544 0.840
12 Se 0.250 0.109 0.861

Output
The raw formation energy is -1.290 eV per atom. The calculation puts the size of the total moment at 5.0 μB/f.u. The mass density is 4.29 g cm⁻³. The total energy comes out at -5.53 eV/atom.



Record 9
This record from Alexandria via LeMat-Bulk describes an optimized crystal structure of K3Sm3MnSe8. The functional is GGA-PBE.

a b c (Å): 8.322 8.322 9.195
angles (deg): 116.90 90.00 120.01
Element x y z (fractional)
1 K 0.000 0.000 0.000
2 K 0.000 0.500 0.000
3 K 0.500 0.500 0.000
4 Sm 0.500 0.000 0.500
5 Sm 0.500 0.500 0.500
6 Sm 0.000 0.500 0.500
7 Mn 0.000 0.000 0.500
8 Se 0.263 0.526 0.289
9 Se 0.737 0.474 0.711
10 Se 0.789 0.578 0.310
11 Se 0.211 0.422 0.690
12 Se 0.789 0.022 0.310
13 Se 0.211 0.978 0.690
14 Se 0.233 0.022 0.310
15 Se 0.767 0.978 0.690

Output
The raw formation energy is -1.420 eV per atom. The calculation puts the size of the total moment at 3.0 μB/f.u. The mass density is 4.43 g cm⁻³. The total energy comes out at -5.05 eV/atom.



Record 10
This record from Alexandria via LeMat-Bulk describes an optimized crystal structure of KSm2MnSe4. The functional is GGA-PBE.

a b c (Å): 4.185 7.501 14.682
angles (deg): 90.00 90.00 106.20
Element x y z (fractional)
1 K 0.108 0.216 0.750
2 K 0.892 0.784 0.250
3 Sm 0.368 0.735 0.560
4 Sm 0.632 0.265 0.060
5 Sm 0.632 0.265 0.440
6 Sm 0.368 0.735 0.940
7 Mn 0.834 0.669 0.750
8 Mn 0.166 0.331 0.250
9 Se 0.267 0.534 0.114
10 Se 0.733 0.466 0.614
11 Se 0.733 0.466 0.886
12 Se 0.267 0.534 0.386
13 Se 0.000 0.000 0.500
14 Se 0.000 0.000 0.000
15 Se 0.433 0.866 0.750
16 Se 0.567 0.134 0.250

Output
The raw formation energy is -1.461 eV per atom. The calculation puts the size of the total moment at 4.2 μB/f.u. The mass density is 5.33 g cm⁻³. The total energy comes out at -5.67 eV/atom.



Record 11
This record from Alexandria via LeMat-Bulk describes an optimized crystal structure of KMnSnSe3. The functional is GGA-PBE.

a b c (Å): 4.146 9.428 9.816
angles (deg): 104.76 90.00 90.00
Element x y z (fractional)
1 K 0.250 0.188 0.224
2 K 0.750 0.812 0.776
3 Mn 0.250 0.082 0.605
4 Mn 0.750 0.918 0.395
5 Sn 0.250 0.654 0.134
6 Sn 0.750 0.346 0.866
7 Se 0.750 0.875 0.139
8 Se 0.250 0.125 0.861
9 Se 0.250 0.808 0.482
10 Se 0.750 0.192 0.518
11 Se 0.750 0.446 0.154
12 Se 0.250 0.554 0.846

Output
The raw formation energy is -0.616 eV per atom. The calculation puts the size of the total moment at 4.4 μB/f.u. The mass density is 4.02 g cm⁻³. The total energy comes out at -4.74 eV/atom.



Record 12
This record from Alexandria via LeMat-Bulk describes an optimized crystal structure of K2Mn2SnSe6. The functional is GGA-PBE.

a b c (Å): 6.676 6.676 8.082
angles (deg): 97.18 97.18 120.62
Element x y z (fractional)
1 K 0.840 0.160 0.000
2 K 0.160 0.840 0.000
3 Mn 0.333 0.667 0.500
4 Mn 0.667 0.333 0.500
5 Sn 0.000 0.000 0.500
6 Se 0.693 0.693 0.683
7 Se 0.055 0.417 0.681
8 Se 0.307 0.307 0.317
9 Se 0.417 0.055 0.681
10 Se 0.945 0.583 0.319
11 Se 0.583 0.945 0.319

Output
The raw formation energy is -0.667 eV per atom. The calculation puts the size of the total moment at 6.2 μB/f.u. The mass density is 4.32 g cm⁻³. The total energy comes out at -4.80 eV/atom.



Record 13
This record from Alexandria via LeMat-Bulk describes an optimized crystal structure of K2MnSnSe5. The functional is GGA-PBE.

a b c (Å): 3.815 10.522 13.765
angles (deg): 90.00 90.00 100.44
Element x y z (fractional)
1 K 0.879 0.759 0.794
2 K 0.123 0.246 0.669
3 K 0.121 0.241 0.294
4 K 0.877 0.754 0.169
5 Mn 0.777 0.554 0.531
6 Mn 0.223 0.446 0.031
7 Sn 0.564 0.127 0.945
8 Sn 0.436 0.873 0.445
9 Se 0.331 0.661 0.982
10 Se 0.689 0.379 0.915
11 Se 0.513 0.026 0.781
12 Se 0.283 0.566 0.645
13 Se 0.967 0.933 0.563
14 Se 0.669 0.339 0.482
15 Se 0.311 0.621 0.415
16 Se 0.487 0.974 0.281
17 Se 0.717 0.434 0.145
18 Se 0.033 0.067 0.063

Output
The raw formation energy is -0.644 eV per atom. The calculation puts the size of the total moment at 3.1 μB/f.u. The mass density is 3.95 g cm⁻³. The total energy comes out at -4.29 eV/atom.



Record 14
This record from Alexandria via LeMat-Bulk describes an optimized crystal structure of K2MnSn2Se6. The functional is GGA-PBE.

a b c (Å): 8.430 8.430 19.908
angles (deg): 90.00 90.00 90.00
Element x y z (fractional)
1 K 0.000 0.500 0.322
2 K 0.000 0.500 0.031
3 K 0.500 0.000 0.178
4 K 0.000 0.500 0.822
5 K 0.500 0.000 0.678
6 K 0.500 0.000 0.969
7 K 0.500 0.000 0.469
8 K 0.000 0.500 0.531
9 Mn 0.000 0.000 0.000
10 Mn 0.500 0.500 0.500
11 Mn 0.000 0.000 0.500
12 Mn 0.500 0.500 0.000
13 Sn 0.000 0.000 0.338
14 Sn 0.000 0.000 0.162
15 Sn 0.500 0.500 0.838
16 Sn 0.500 0.500 0.662
17 Sn 0.500 0.500 0.338
18 Sn 0.500 0.500 0.162
19 Sn 0.000 0.000 0.838
20 Sn 0.000 0.000 0.662
21 Se 0.663 0.337 0.250
22 Se 0.679 0.346 0.918
23 Se 0.321 0.346 0.418
24 Se 0.846 0.821 0.918
25 Se 0.337 0.663 0.250
26 Se 0.846 0.179 0.418
27 Se 0.654 0.321 0.582
28 Se 0.337 0.337 0.750
29 Se 0.346 0.321 0.082
30 Se 0.837 0.163 0.750
31 Se 0.654 0.679 0.082
32 Se 0.663 0.663 0.750
33 Se 0.821 0.154 0.082
34 Se 0.679 0.654 0.418
35 Se 0.163 0.837 0.750
36 Se 0.837 0.837 0.250
37 Se 0.346 0.679 0.582
38 Se 0.179 0.846 0.082
39 Se 0.321 0.654 0.918
40 Se 0.163 0.163 0.250
41 Se 0.179 0.154 0.582
42 Se 0.154 0.821 0.418
43 Se 0.821 0.846 0.582
44 Se 0.154 0.179 0.918

Output
The raw formation energy is -0.693 eV per atom. The calculation puts the size of the total moment at 5.0 μB/f.u. The mass density is 3.96 g cm⁻³. The total energy comes out at -4.36 eV/atom.



Record 15
This record from Alexandria via LeMat-Bulk describes an optimized crystal structure of K4TaMn3Se8. The functional is GGA-PBE.

a b c (Å): 7.906 8.738 7.898
angles (deg): 116.88 120.03 90.00
Element x y z (fractional)
1 K 0.500 0.000 0.000
2 K 0.500 0.000 0.500
3 K 0.000 0.000 0.000
4 K 0.000 0.000 0.500
5 Ta 0.000 0.500 0.000
6 Mn 0.500 0.500 0.000
7 Mn 0.500 0.500 0.500
8 Mn 0.000 0.500 0.500
9 Se 0.224 0.691 0.966
10 Se 0.224 0.691 0.449
11 Se 0.275 0.326 0.551
12 Se 0.742 0.691 0.966
13 Se 0.258 0.309 0.034
14 Se 0.725 0.674 0.449
15 Se 0.776 0.309 0.551
16 Se 0.776 0.309 0.034

Output
The raw formation energy is -0.792 eV per atom. The calculation puts the size of the total moment at 14.0 μB/f.u. The mass density is 4.67 g cm⁻³. The total energy comes out at -5.27 eV/atom.



Record 16
This record from Alexandria via LeMat-Bulk describes an optimized crystal structure of K2TaMnSe5. The functional is GGA-PBE.

a b c (Å): 3.811 10.190 13.796
angles (deg): 90.00 90.00 100.78
Element x y z (fractional)
1 K 0.886 0.771 0.807
2 K 0.125 0.250 0.681
3 K 0.114 0.229 0.307
4 K 0.875 0.750 0.181
5 Ta 0.789 0.578 0.526
6 Ta 0.211 0.422 0.026
7 Mn 0.574 0.148 0.936
8 Mn 0.426 0.852 0.436
9 Se 0.329 0.658 0.992
10 Se 0.693 0.385 0.891
11 Se 0.518 0.035 0.791
12 Se 0.291 0.583 0.655
13 Se 0.929 0.859 0.545
14 Se 0.671 0.342 0.492
15 Se 0.307 0.615 0.391
16 Se 0.482 0.965 0.291
17 Se 0.709 0.417 0.155
18 Se 0.071 0.141 0.045

Output
The raw formation energy is -0.791 eV per atom. The calculation puts the size of the total moment at 3.8 μB/f.u. The mass density is 4.47 g cm⁻³. The total energy comes out at -5.31 eV/atom.



Record 17
This record from Alexandria via LeMat-Bulk describes an optimized crystal structure of K2Ta2MnSe6. The functional is GGA-PBE.

a b c (Å): 6.481 6.481 8.110
angles (deg): 96.18 96.18 118.74
Element x y z (fractional)
1 K 0.821 0.179 0.000
2 K 0.179 0.821 0.000
3 Ta 0.363 0.637 0.500
4 Ta 0.637 0.363 0.500
5 Mn 0.000 0.000 0.500
6 Se 0.713 0.713 0.721
7 Se 0.044 0.390 0.676
8 Se 0.287 0.287 0.279
9 Se 0.390 0.044 0.676
10 Se 0.956 0.610 0.324
11 Se 0.610 0.956 0.324

Output
The raw formation energy is -0.828 eV per atom. The calculation puts the size of the total moment at 4.7 μB/f.u. The mass density is 5.51 g cm⁻³. The total energy comes out at -5.92 eV/atom.



Record 18
This record from Alexandria via LeMat-Bulk describes an optimized crystal structure of K3TaMn3Se8. The functional is GGA-PBE.

a b c (Å): 7.690 7.657 8.931
angles (deg): 115.38 89.98 120.19
Element x y z (fractional)
1 K 0.000 0.000 0.000
2 K 0.000 0.500 0.000
3 K 0.500 0.500 0.000
4 Ta 0.000 0.000 0.500
5 Mn 0.500 0.000 0.500
6 Mn 0.500 0.500 0.500
7 Mn 0.000 0.500 0.500
8 Se 0.274 0.549 0.322
9 Se 0.726 0.451 0.678
10 Se 0.773 0.547 0.314
11 Se 0.227 0.453 0.686
12 Se 0.775 0.042 0.315
13 Se 0.225 0.958 0.685
14 Se 0.267 0.042 0.315
15 Se 0.733 0.958 0.685

Output
The raw formation energy is -0.754 eV per atom. The calculation puts the size of the total moment at 13.0 μB/f.u. The mass density is 4.60 g cm⁻³. The total energy comes out at -5.46 eV/atom.



Record 19
This record from Alexandria via LeMat-Bulk describes an optimized crystal structure of K4Tb3MnSe8. The functional is GGA-PBE.

a b c (Å): 8.311 9.053 8.311
angles (deg): 117.33 120.00 90.00
Element x y z (fractional)
1 K 0.500 0.000 0.000
2 K 0.500 0.000 0.500
3 K 0.000 0.000 0.000
4 K 0.000 0.000 0.500
5 Tb 0.500 0.500 0.000
6 Tb 0.500 0.500 0.500
7 Tb 0.000 0.500 0.500
8 Mn 0.000 0.500 0.000
9 Se 0.224 0.698 0.974
10 Se 0.224 0.698 0.447
11 Se 0.264 0.291 0.528
12 Se 0.751 0.698 0.974
13 Se 0.249 0.302 0.026
14 Se 0.736 0.709 0.472
15 Se 0.776 0.302 0.553
16 Se 0.776 0.302 0.026

Output
The raw formation energy is -1.470 eV per atom. The calculation puts the size of the total moment at 4.0 μB/f.u. The mass density is 4.77 g cm⁻³. The total energy comes out at -4.93 eV/atom.